# 1
## Pr2Ga12Ir (GGA-PBE)

Data for a geometry-optimized Pr2Ga12Ir structure.

Computed properties:
- volume (Å³/cell) = 592
- SG = P4/nbm, No. 125
- electronic total energy (eV per atom) = -4.087
- N(E_F) (states/eV per atom) = 0.27
- ΔE_f (eV/atom) = -0.44

Unit cell a=6.145 b=6.145 c=15.687 alpha=90.00 beta=90.00 gamma=90.00
Fractional coordinates of all 30 atoms:
1 Pr 0.250 0.750 0.240
2 Pr 0.250 0.750 0.760
3 Pr 0.750 0.250 0.240
4 Pr 0.750 0.250 0.760
5 Ga 0.000 0.000 0.087
6 Ga 0.000 0.000 0.913
7 Ga 0.000 0.500 0.087
8 Ga 0.000 0.500 0.913
9 Ga 0.081 0.581 0.432
10 Ga 0.081 0.919 0.568
11 Ga 0.250 0.250 0.189
12 Ga 0.250 0.250 0.347
13 Ga 0.250 0.250 0.653
14 Ga 0.250 0.250 0.811
15 Ga 0.419 0.581 0.568
16 Ga 0.419 0.919 0.432
17 Ga 0.500 0.000 0.087
18 Ga 0.500 0.000 0.913
19 Ga 0.500 0.500 0.087
20 Ga 0.500 0.500 0.913
21 Ga 0.581 0.081 0.568
22 Ga 0.581 0.419 0.432
23 Ga 0.750 0.750 0.189
24 Ga 0.750 0.750 0.347
25 Ga 0.750 0.750 0.653
26 Ga 0.750 0.750 0.811
27 Ga 0.919 0.081 0.432
28 Ga 0.919 0.419 0.568
29 Ir 0.250 0.750 0.000
30 Ir 0.750 0.250 0.000

=====

# 2
## PrGa2IrPt2 (GGA-PBE)

Data for a geometry-optimized PrGa2IrPt2 structure.

Computed properties:
- volume (Å³/cell) = 302
- SG = I4/mmm, No. 139
- electronic total energy (eV per atom) = -5.268
- N(E_F) (states/eV per atom) = 0.81
- ΔE_f (eV/atom) = 0.03

Unit cell a=4.006 b=4.006 c=18.803 alpha=90.00 beta=90.00 gamma=90.00
Fractional coordinates of all 12 atoms:
1 Pr 0.000 0.000 0.000
2 Pr 0.500 0.500 0.500
3 Ga 0.000 0.000 0.168
4 Ga 0.000 0.000 0.832
5 Ga 0.500 0.500 0.332
6 Ga 0.500 0.500 0.668
7 Ir 0.000 0.000 0.500
8 Ir 0.500 0.500 0.000
9 Pt 0.000 0.500 0.250
10 Pt 0.000 0.500 0.750
11 Pt 0.500 0.000 0.250
12 Pt 0.500 0.000 0.750

=====

# 3
## PrGa4IrPt2 (GGA-PBE)

Data for a geometry-optimized PrGa4IrPt2 structure.

Computed properties:
- volume (Å³/cell) = 144
- SG = R-3m, No. 166
- electronic total energy (eV per atom) = -5.381
- N(E_F) (states/eV per atom) = 0.61
- ΔE_f (eV/atom) = -0.65

Unit cell a=9.305 b=9.305 c=9.305 alpha=26.71 beta=26.71 gamma=26.71
Fractional coordinates of all 8 atoms:
1 Pr 0.000 0.000 0.000
2 Ga 0.133 0.133 0.133
3 Ga 0.401 0.401 0.401
4 Ga 0.599 0.599 0.599
5 Ga 0.867 0.867 0.867
6 Ir 0.500 0.500 0.500
7 Pt 0.236 0.236 0.236
8 Pt 0.764 0.764 0.764

=====

# 4
## Pr2Ga4IrPt3 (GGA-PBE)

Data for a geometry-optimized Pr2Ga4IrPt3 structure.

Computed properties:
- volume (Å³/cell) = 194
- SG = P-4m2, No. 115
- electronic total energy (eV per atom) = -5.779
- N(E_F) (states/eV per atom) = 0.74
- ΔE_f (eV/atom) = -0.91

Unit cell a=4.290 b=4.290 c=10.519 alpha=90.00 beta=90.00 gamma=90.00
Fractional coordinates of all 10 atoms:
1 Pr 0.000 0.500 0.248
2 Pr 0.500 0.000 0.752
3 Ga 0.000 0.000 0.500
4 Ga 0.000 0.500 0.872
5 Ga 0.500 0.000 0.128
6 Ga 0.500 0.500 0.500
7 Ir 0.500 0.500 0.000
8 Pt 0.000 0.000 0.000
9 Pt 0.000 0.500 0.633
10 Pt 0.500 0.000 0.367

=====

# 5
## PrPuGaIr (GGA-PBE)

Data for a geometry-optimized PrPuGaIr structure.

Computed properties:
- volume (Å³/cell) = 366
- SG = F-43m, No. 216
- electronic total energy (eV per atom) = -8.111
- N(E_F) (states/eV per atom) = 1.99
- ΔE_f (eV/atom) = -0.36

Unit cell a=7.155 b=7.155 c=7.155 alpha=90.00 beta=90.00 gamma=90.00
Fractional coordinates of all 16 atoms:
1 Pr 0.000 0.000 0.000
2 Pr 0.000 0.500 0.500
3 Pr 0.500 0.000 0.500
4 Pr 0.500 0.500 0.000
5 Pu 0.000 0.000 0.500
6 Pu 0.000 0.500 0.000
7 Pu 0.500 0.000 0.000
8 Pu 0.500 0.500 0.500
9 Ga 0.250 0.250 0.750
10 Ga 0.250 0.750 0.250
11 Ga 0.750 0.250 0.250
12 Ga 0.750 0.750 0.750
13 Ir 0.250 0.250 0.250
14 Ir 0.250 0.750 0.750
15 Ir 0.750 0.250 0.750
16 Ir 0.750 0.750 0.250

=====

# 6
## Pr2PuGa3Ir4 (GGA-PBE)

Data for a geometry-optimized Pr2PuGa3Ir4 structure.

Computed properties:
- volume (Å³/cell) = 203
- SG = P-4m2, No. 115
- electronic total energy (eV per atom) = -7.484
- N(E_F) (states/eV per atom) = 1.08
- ΔE_f (eV/atom) = -0.64

Unit cell a=4.320 b=4.320 c=10.896 alpha=90.00 beta=90.00 gamma=90.00
Fractional coordinates of all 10 atoms:
1 Pr 0.000 0.500 0.225
2 Pr 0.500 0.000 0.775
3 Pu 0.000 0.000 0.500
4 Ga 0.000 0.500 0.881
5 Ga 0.500 0.000 0.119
6 Ga 0.500 0.500 0.500
7 Ir 0.000 0.000 0.000
8 Ir 0.000 0.500 0.649
9 Ir 0.500 0.000 0.351
10 Ir 0.500 0.500 0.000

=====

# 7
## PrGa4IrRh2 (GGA-PBE)

Data for a geometry-optimized PrGa4IrRh2 structure.

Computed properties:
- volume (Å³/cell) = 140
- SG = R-3m, No. 166
- electronic total energy (eV per atom) = -5.701
- N(E_F) (states/eV per atom) = 0.30
- ΔE_f (eV/atom) = -0.64

Unit cell a=9.215 b=9.215 c=9.215 alpha=26.73 beta=26.73 gamma=26.73
Fractional coordinates of all 8 atoms:
1 Pr 0.000 0.000 0.000
2 Ga 0.132 0.132 0.132
3 Ga 0.402 0.402 0.402
4 Ga 0.598 0.598 0.598
5 Ga 0.868 0.868 0.868
6 Ir 0.500 0.500 0.500
7 Rh 0.233 0.233 0.233
8 Rh 0.767 0.767 0.767

=====

# 8
## Pr2Ga4Ir3Rh (GGA-PBE)

Data for a geometry-optimized Pr2Ga4Ir3Rh structure.

Computed properties:
- volume (Å³/cell) = 190
- SG = P-4m2, No. 115
- electronic total energy (eV per atom) = -6.294
- N(E_F) (states/eV per atom) = 0.58
- ΔE_f (eV/atom) = -0.73

Unit cell a=4.318 b=4.318 c=10.214 alpha=90.00 beta=90.00 gamma=90.00
Fractional coordinates of all 10 atoms:
1 Pr 0.000 0.500 0.241
2 Pr 0.500 0.000 0.759
3 Ga 0.000 0.000 0.500
4 Ga 0.000 0.500 0.876
5 Ga 0.500 0.000 0.124
6 Ga 0.500 0.500 0.500
7 Ir 0.000 0.000 0.000
8 Ir 0.000 0.500 0.631
9 Ir 0.500 0.000 0.369
10 Rh 0.500 0.500 0.000

=====

# 9
## Pr2GaIr2Rh5 (GGA-PBE)

Data for a geometry-optimized Pr2GaIr2Rh5 structure.

Computed properties:
- volume (Å³/cell) = 363
- SG = P4/mbm, No. 127
- electronic total energy (eV per atom) = -7.019
- N(E_F) (states/eV per atom) = 1.32
- ΔE_f (eV/atom) = -0.31

Unit cell a=9.671 b=9.671 c=3.878 alpha=90.00 beta=90.00 gamma=90.00
Fractional coordinates of all 20 atoms:
1 Pr 0.169 0.331 0.000
2 Pr 0.331 0.831 0.000
3 Pr 0.669 0.169 0.000
4 Pr 0.831 0.669 0.000
5 Ga 0.000 0.000 0.000
6 Ga 0.500 0.500 0.000
7 Ir 0.131 0.631 0.000
8 Ir 0.369 0.131 0.000
9 Ir 0.631 0.869 0.000
10 Ir 0.869 0.369 0.000
11 Rh 0.000 0.500 0.500
12 Rh 0.062 0.806 0.500
13 Rh 0.194 0.062 0.500
14 Rh 0.306 0.562 0.500
15 Rh 0.438 0.306 0.500
16 Rh 0.500 0.000 0.500
17 Rh 0.562 0.694 0.500
18 Rh 0.694 0.438 0.500
19 Rh 0.806 0.938 0.500
20 Rh 0.938 0.194 0.500

=====

# 10
## PrGa3IrRh (GGA-PBE)

Data for a geometry-optimized PrGa3IrRh structure.

Computed properties:
- volume (Å³/cell) = 255
- SG = Cmcm, No. 63
- electronic total energy (eV per atom) = -5.490
- N(E_F) (states/eV per atom) = 0.64
- ΔE_f (eV/atom) = -0.48

Unit cell a=6.767 b=6.767 c=5.884 alpha=90.00 beta=90.00 gamma=108.87
Fractional coordinates of all 12 atoms:
1 Pr 0.243 0.757 0.750
2 Pr 0.757 0.243 0.250
3 Ga 0.246 0.246 0.000
4 Ga 0.246 0.246 0.500
5 Ga 0.257 0.743 0.250
6 Ga 0.743 0.257 0.750
7 Ga 0.754 0.754 0.000
8 Ga 0.754 0.754 0.500
9 Ir 0.470 0.530 0.250
10 Ir 0.530 0.470 0.750
11 Rh 0.045 0.955 0.250
12 Rh 0.955 0.045 0.750

=====

# 11
## Pr2GaIrRh (GGA-PBE)

Data for a geometry-optimized Pr2GaIrRh structure.

Computed properties:
- volume (Å³/cell) = 240
- SG = P4/nmm, No. 129
- electronic total energy (eV per atom) = -6.392
- N(E_F) (states/eV per atom) = 0.58
- ΔE_f (eV/atom) = -0.63

Unit cell a=4.254 b=4.254 c=13.278 alpha=90.00 beta=90.00 gamma=90.00
Fractional coordinates of all 10 atoms:
1 Pr 0.250 0.250 0.106
2 Pr 0.250 0.250 0.678
3 Pr 0.750 0.750 0.322
4 Pr 0.750 0.750 0.894
5 Ga 0.250 0.250 0.398
6 Ga 0.750 0.750 0.602
7 Ir 0.250 0.250 0.886
8 Ir 0.750 0.750 0.114
9 Rh 0.250 0.750 0.500
10 Rh 0.750 0.250 0.500

=====

# 12
## PrGa4Ir2Rh (GGA-PBE)

Data for a geometry-optimized PrGa4Ir2Rh structure.

Computed properties:
- volume (Å³/cell) = 139
- SG = R-3m, No. 166
- electronic total energy (eV per atom) = -5.866
- N(E_F) (states/eV per atom) = 0.34
- ΔE_f (eV/atom) = -0.62

Unit cell a=9.148 b=9.148 c=9.148 alpha=27.00 beta=27.00 gamma=27.00
Fractional coordinates of all 8 atoms:
1 Pr 0.000 0.000 0.000
2 Ga 0.132 0.132 0.132
3 Ga 0.402 0.402 0.402
4 Ga 0.598 0.598 0.598
5 Ga 0.868 0.868 0.868
6 Ir 0.234 0.234 0.234
7 Ir 0.766 0.766 0.766
8 Rh 0.500 0.500 0.500

=====

# 13
## PrGa2IrRu (GGA-PBE)

Data for a geometry-optimized PrGa2IrRu structure.

Computed properties:
- volume (Å³/cell) = 190
- SG = I-4m2, No. 119
- electronic total energy (eV per atom) = -6.359
- N(E_F) (states/eV per atom) = 0.42
- ΔE_f (eV/atom) = -0.57

Unit cell a=4.401 b=4.401 c=9.792 alpha=90.00 beta=90.00 gamma=90.00
Fractional coordinates of all 10 atoms:
1 Pr 0.000 0.000 0.000
2 Pr 0.500 0.500 0.500
3 Ga 0.000 0.000 0.368
4 Ga 0.000 0.000 0.632
5 Ga 0.500 0.500 0.132
6 Ga 0.500 0.500 0.868
7 Ir 0.000 0.500 0.250
8 Ir 0.500 0.000 0.750
9 Ru 0.000 0.500 0.750
10 Ru 0.500 0.000 0.250

=====

# 14
## Pr2Ga4Ir3Ru (GGA-PBE)

Data for a geometry-optimized Pr2Ga4Ir3Ru structure.

Computed properties:
- volume (Å³/cell) = 192
- SG = P-4m2, No. 115
- electronic total energy (eV per atom) = -6.388
- N(E_F) (states/eV per atom) = 0.51
- ΔE_f (eV/atom) = -0.63

Unit cell a=4.391 b=4.391 c=9.939 alpha=90.00 beta=90.00 gamma=90.00
Fractional coordinates of all 10 atoms:
1 Pr 0.000 0.500 0.233
2 Pr 0.500 0.000 0.767
3 Ga 0.000 0.000 0.500
4 Ga 0.000 0.500 0.878
5 Ga 0.500 0.000 0.122
6 Ga 0.500 0.500 0.500
7 Ir 0.000 0.000 0.000
8 Ir 0.000 0.500 0.626
9 Ir 0.500 0.000 0.374
10 Ru 0.500 0.500 0.000

=====

# 15
## PrGa4Ir2Ru (GGA-PBE)

Data for a geometry-optimized PrGa4Ir2Ru structure.

Computed properties:
- volume (Å³/cell) = 139
- SG = R-3m, No. 166
- electronic total energy (eV per atom) = -6.024
- N(E_F) (states/eV per atom) = 0.47
- ΔE_f (eV/atom) = -0.54

Unit cell a=9.137 b=9.137 c=9.137 alpha=27.01 beta=27.01 gamma=27.01
Fractional coordinates of all 8 atoms:
1 Pr 0.000 0.000 0.000
2 Ga 0.133 0.133 0.133
3 Ga 0.403 0.403 0.403
4 Ga 0.597 0.597 0.597
5 Ga 0.867 0.867 0.867
6 Ir 0.236 0.236 0.236
7 Ir 0.764 0.764 0.764
8 Ru 0.500 0.500 0.500

=====

# 16
## PrGa4IrRu2 (GGA-PBE)

Data for a geometry-optimized PrGa4IrRu2 structure.

Computed properties:
- volume (Å³/cell) = 139
- SG = R-3m, No. 166
- electronic total energy (eV per atom) = -5.964
- N(E_F) (states/eV per atom) = 0.64
- ΔE_f (eV/atom) = -0.43

Unit cell a=9.141 b=9.141 c=9.141 alpha=27.05 beta=27.05 gamma=27.05
Fractional coordinates of all 8 atoms:
1 Pr 0.000 0.000 0.000
2 Ga 0.131 0.131 0.131
3 Ga 0.403 0.403 0.403
4 Ga 0.597 0.597 0.597
5 Ga 0.869 0.869 0.869
6 Ir 0.500 0.500 0.500
7 Ru 0.234 0.234 0.234
8 Ru 0.766 0.766 0.766

=====

# 17
## PrScGaIr (GGA-PBE)

Data for a geometry-optimized PrScGaIr structure.

Computed properties:
- volume (Å³/cell) = 340
- SG = F-43m, No. 216
- electronic total energy (eV per atom) = -6.288
- N(E_F) (states/eV per atom) = 0.84
- ΔE_f (eV/atom) = -0.54

Unit cell a=6.980 b=6.980 c=6.980 alpha=90.00 beta=90.00 gamma=90.00
Fractional coordinates of all 16 atoms:
1 Pr 0.000 0.000 0.000
2 Pr 0.000 0.500 0.500
3 Pr 0.500 0.000 0.500
4 Pr 0.500 0.500 0.000
5 Sc 0.000 0.000 0.500
6 Sc 0.000 0.500 0.000
7 Sc 0.500 0.000 0.000
8 Sc 0.500 0.500 0.500
9 Ga 0.250 0.250 0.250
10 Ga 0.250 0.750 0.750
11 Ga 0.750 0.250 0.750
12 Ga 0.750 0.750 0.250
13 Ir 0.250 0.250 0.750
14 Ir 0.250 0.750 0.250
15 Ir 0.750 0.250 0.250
16 Ir 0.750 0.750 0.750

=====

# 18
## Pr2ScGa3Ir4 (GGA-PBE)

Data for a geometry-optimized Pr2ScGa3Ir4 structure.

Computed properties:
- volume (Å³/cell) = 197
- SG = P-4m2, No. 115
- electronic total energy (eV per atom) = -6.785
- N(E_F) (states/eV per atom) = 0.59
- ΔE_f (eV/atom) = -0.74

Unit cell a=4.253 b=4.253 c=10.873 alpha=90.00 beta=90.00 gamma=90.00
Fractional coordinates of all 10 atoms:
1 Pr 0.000 0.500 0.230
2 Pr 0.500 0.000 0.770
3 Sc 0.000 0.000 0.500
4 Ga 0.000 0.500 0.879
5 Ga 0.500 0.000 0.121
6 Ga 0.500 0.500 0.500
7 Ir 0.000 0.000 0.000
8 Ir 0.000 0.500 0.646
9 Ir 0.500 0.000 0.354
10 Ir 0.500 0.500 0.000

=====

# 19
## Pr2GaSi3Ir4 (GGA-PBE)

Data for a geometry-optimized Pr2GaSi3Ir4 structure.

Computed properties:
- volume (Å³/cell) = 179
- SG = P-4m2, No. 115
- electronic total energy (eV per atom) = -7.383
- ΔE_f (raw) (meV per atom) = -954
- N(E_F) (states/eV per atom) = 0.65

Unit cell a=4.215 b=4.215 c=10.057 alpha=90.00 beta=90.00 gamma=90.00
Fractional coordinates of all 10 atoms:
1 Pr 0.000 0.500 0.247
2 Pr 0.500 0.000 0.753
3 Ga 0.500 0.500 0.000
4 Si 0.000 0.000 0.000
5 Si 0.000 0.500 0.627
6 Si 0.500 0.000 0.373
7 Ir 0.000 0.000 0.500
8 Ir 0.000 0.500 0.866
9 Ir 0.500 0.000 0.134
10 Ir 0.500 0.500 0.500

=====

# 20
## PrGa2SiIr2 (GGA-PBE)

Data for a geometry-optimized PrGa2SiIr2 structure.

Computed properties:
- volume (Å³/cell) = 117
- SG = P4/mmm, No. 123
- electronic total energy (eV per atom) = -6.049
- ΔE_f (raw) (meV per atom) = -386
- N(E_F) (states/eV per atom) = 1.02

Unit cell a=4.564 b=4.564 c=5.618 alpha=90.00 beta=90.00 gamma=90.00
Fractional coordinates of all 6 atoms:
1 Pr 0.000 0.000 0.000
2 Ga 0.500 0.500 0.237
3 Ga 0.500 0.500 0.763
4 Si 0.000 0.000 0.500
5 Ir 0.000 0.500 0.500
6 Ir 0.500 0.000 0.500